1.
The following is a DFT calculation (PBE) of crystalline In2AsCl at its relaxed geometry.

Values from the calculation:
Space-group type: R-3m, No. 166
Total energy, eV per atom: -3.32
Density of states at the Fermi level, states/eV per atom: 0.438
Formation energy from raw total energies, eV/atom: -0.329
Energy above the most stable polymorph in this dataset, eV per atom: 0.047

a b c (Å): 7.365 7.365 7.365
angles (deg): 33.77 33.77 33.77
Positions (direct):
In1 0.236 0.236 0.236
In2 0.764 0.764 0.764
As1 0.500 0.500 0.500
Cl1 0.000 0.000 0.000


2.
The following is a DFT calculation (PBE) of crystalline NaFe2BiP at its relaxed geometry.

Values from the calculation:
Space-group type: P4/mmm, No. 123
Total energy, eV per atom: -4.30
Density of states at the Fermi level, states/eV per atom: 1.348
ΔE_f, eV per atom: 1.21
Energy above the most stable polymorph in this dataset, eV per atom: 0.825

a b c (Å): 4.987 4.987 5.544
angles (deg): 90.00 90.00 90.00
Positions (direct):
Na1 0.000 0.000 0.000
Fe1 0.000 0.500 0.500
Fe2 0.500 0.000 0.500
Bi1 0.500 0.500 0.500
P1 0.500 0.500 0.000


3.
The following is a DFT calculation (PBE) of crystalline Li5In2Hg12 at its relaxed geometry.

Values from the calculation:
Space-group type: C2/m, No. 12
Total energy, eV per atom: -1.11
Density of states at the Fermi level, states/eV per atom: 0.290
ΔE_f, eV per atom: -0.13
Energy above the most stable polymorph in this dataset, eV per atom: 0.029

a b c (Å): 8.457 8.457 10.029
angles (deg): 105.78 105.78 42.55
Positions (direct):
Li1 0.000 0.000 0.000
Li2 0.331 0.331 0.173
Li3 0.361 0.361 0.629
Li4 0.639 0.639 0.371
Li5 0.669 0.669 0.827
In1 0.254 0.746 0.500
In2 0.746 0.254 0.500
Hg1 0.040 0.552 0.381
Hg2 0.075 0.075 0.287
Hg3 0.080 0.578 0.927
Hg4 0.422 0.920 0.073
Hg5 0.448 0.960 0.619
Hg6 0.496 0.496 0.151
Hg7 0.504 0.504 0.849
Hg8 0.552 0.040 0.381
Hg9 0.578 0.080 0.927
Hg10 0.920 0.422 0.073
Hg11 0.925 0.925 0.713
Hg12 0.960 0.448 0.619


4.
The following is a DFT calculation (PBE) of crystalline RbRhPb3 at its relaxed geometry.

Values from the calculation:
Space-group type: P6_3/mmc, No. 194
Total energy, eV per atom: -3.97
Density of states at the Fermi level, states/eV per atom: 0.573
ΔE_f, eV per atom: -0.08
Energy above the most stable polymorph in this dataset, eV per atom: 0.000

a b c (Å): 7.740 7.740 5.956
angles (deg): 90.00 90.00 120.00
Positions (direct):
Rb1 0.333 0.667 0.250
Rb2 0.667 0.333 0.750
Rh1 0.000 0.000 0.000
Rh2 0.000 0.000 0.500
Pb1 0.174 0.348 0.750
Pb2 0.174 0.826 0.750
Pb3 0.348 0.174 0.250
Pb4 0.652 0.826 0.750
Pb5 0.826 0.174 0.250
Pb6 0.826 0.652 0.250


5.
The following is a DFT calculation (PBE) of crystalline PuMn4Tc at its relaxed geometry.

Values from the calculation:
Space-group type: F-43m, No. 216
Total energy, eV per atom: -10.01
Density of states at the Fermi level, states/eV per atom: 2.355
ΔE_f, eV per atom: 0.22

a b c (Å): 4.870 4.870 4.870
angles (deg): 60.00 60.00 60.00
Positions (direct):
Pu1 0.000 0.000 0.000
Mn1 0.376 0.376 0.376
Mn2 0.376 0.376 0.873
Mn3 0.376 0.873 0.376
Mn4 0.873 0.376 0.376
Tc1 0.750 0.750 0.750


6.
The following is a DFT calculation (PBE) of crystalline LiReRu2N at its relaxed geometry.

Values from the calculation:
Space-group type: P4/mmm, No. 123
Total energy, eV per atom: -5.75
Density of states at the Fermi level, states/eV per atom: 1.567
Formation energy from raw total energies, eV/atom: 2.498

a b c (Å): 4.606 4.606 4.705
angles (deg): 90.00 90.00 90.00
Positions (direct):
Li1 0.000 0.000 0.000
Re1 0.000 0.000 0.500
Ru1 0.000 0.500 0.500
Ru2 0.500 0.000 0.500
N1 0.500 0.500 0.000


7.
The following is a DFT calculation (PBE) of crystalline Ge2RuBr at its relaxed geometry.

Values from the calculation:
Space-group type: Fm-3m, No. 225
Total energy, eV per atom: -4.26
Density of states at the Fermi level, states/eV per atom: 0.768
Formation energy from raw total energies, eV/atom: 0.782
Energy above the most stable polymorph in this dataset, eV per atom: 0.538

a b c (Å): 4.778 4.778 4.778
angles (deg): 60.00 60.00 60.00
Positions (direct):
Ge1 0.250 0.250 0.250
Ge2 0.750 0.750 0.750
Ru1 0.000 0.000 0.000
Br1 0.500 0.500 0.500


8.
The following is a DFT calculation (PBE) of crystalline RbSr2Ti at its relaxed geometry.

Values from the calculation:
Space-group type: Fm-3m, No. 225
Total energy, eV per atom: -2.33
Density of states at the Fermi level, states/eV per atom: 1.974
ΔE_f, eV per atom: 0.73
Energy above the most stable polymorph in this dataset, eV per atom: 0.000

a b c (Å): 6.333 6.333 6.333
angles (deg): 60.00 60.00 60.00
Positions (direct):
Rb1 0.000 0.000 0.000
Sr1 0.250 0.250 0.250
Sr2 0.750 0.750 0.750
Ti1 0.500 0.500 0.500


9.
The following is a DFT calculation (PBE) of crystalline Cs3MgBi2 at its relaxed geometry.

Values from the calculation:
Space-group type: Ibam, No. 72
Total energy, eV per atom: -2.32
Density of states at the Fermi level, states/eV per atom: 1.251
ΔE_f, eV per atom: -0.33

a b c (Å): 10.447 10.447 10.447
angles (deg): 125.49 72.11 136.61
Positions (direct):
Cs1 0.176 0.695 0.871
Cs2 0.250 0.250 0.000
Cs3 0.324 0.195 0.519
Cs4 0.676 0.805 0.481
Cs5 0.750 0.750 0.000
Cs6 0.824 0.305 0.129
Mg1 0.250 0.750 0.500
Mg2 0.750 0.250 0.500
Bi1 0.092 0.317 0.409
Bi2 0.408 0.817 0.224
Bi3 0.592 0.183 0.776
Bi4 0.908 0.683 0.591


10.
The following is a DFT calculation (PBE) of crystalline BaCePt2 at its relaxed geometry.

Values from the calculation:
Space-group type: R3m, No. 160
Total energy, eV per atom: -5.80
Density of states at the Fermi level, states/eV per atom: 1.400
ΔE_f, eV per atom: -0.82
Energy above the most stable polymorph in this dataset, eV per atom: 0.073

a b c (Å): 8.003 8.003 8.003
angles (deg): 30.33 30.33 30.33
Positions (direct):
Ba1 0.000 0.000 0.000
Ce1 0.172 0.172 0.172
Pt1 0.573 0.573 0.573
Pt2 0.769 0.769 0.769


11.
The following is a DFT calculation (PBE) of crystalline Mg2InAu at its relaxed geometry.

Values from the calculation:
Space-group type: Cm, No. 8
Total energy, eV per atom: -2.59
Density of states at the Fermi level, states/eV per atom: 0.182
ΔE_f, eV per atom: -0.29

a b c (Å): 5.322 5.322 4.780
angles (deg): 105.25 105.25 39.82
Positions (direct):
Mg1 0.000 0.000 0.000
Mg2 0.228 0.228 0.689
In1 0.758 0.758 0.219
Au1 0.498 0.498 0.533


12.
The following is a DFT calculation (PBE) of crystalline Ni6Te at its relaxed geometry.

Values from the calculation:
Space-group type: Im-3m, No. 229
Total energy, eV per atom: -4.49
Density of states at the Fermi level, states/eV per atom: 0.960
Formation energy from raw total energies, eV/atom: 0.916

a b c (Å): 5.392 5.392 5.392
angles (deg): 109.47 109.47 109.47
Positions (direct):
Ni1 0.250 0.500 0.750
Ni2 0.250 0.750 0.500
Ni3 0.500 0.250 0.750
Ni4 0.500 0.750 0.250
Ni5 0.750 0.250 0.500
Ni6 0.750 0.500 0.250
Te1 0.000 0.000 0.000


Please write out number 7 again, unchanged.
The following is a DFT calculation (PBE) of crystalline Ge2RuBr at its relaxed geometry.

Values from the calculation:
Space-group type: Fm-3m, No. 225
Total energy, eV per atom: -4.26
Density of states at the Fermi level, states/eV per atom: 0.768
Formation energy from raw total energies, eV/atom: 0.782
Energy above the most stable polymorph in this dataset, eV per atom: 0.538

a b c (Å): 4.778 4.778 4.778
angles (deg): 60.00 60.00 60.00
Positions (direct):
Ge1 0.250 0.250 0.250
Ge2 0.750 0.750 0.750
Ru1 0.000 0.000 0.000
Br1 0.500 0.500 0.500